(1)
A relaxed structure of PmGdHg, computed with PBE-GGA.

abc: 3.7244 3.7244 12.7070
angles: 90.00 90.00 90.00
With the nearest neighbours (Å) after each atom.
Space group I4mm (No. 107)
Asymmetric unit:
Pm1 0.0000 0.0000 0.0000 x2  4 Hg 3.31, 4 Gd 3.61
Gd1 0.0000 0.0000 0.3059 x2  4 Hg 3.24, 4 Pm 3.61
Hg1 0.0000 0.0000 0.6574 x2  4 Gd 3.24, 4 Pm 3.31

D(E_F) (states/eV per atom): 0.988
Size of the total moment (μB/f.u.): 7.90

(2)
A relaxed structure of PmGdHg, computed with PBE-GGA.

abc: 7.3320 7.3320 7.3320
angles: 90.00 90.00 90.00
With the nearest neighbours (Å) after each atom.
Space group F-43m (No. 216)
Asymmetric unit:
Pm1 0.0000 0.0000 0.0000 x4  4 Hg 3.17
Gd1 0.0000 0.0000 0.5000 x4  4 Hg 3.17
Hg1 0.2500 0.2500 0.2500 x4  4 Gd 3.17, 4 Pm 3.17

D(E_F) (states/eV per atom): 1.457
Size of the total moment (μB/f.u.): 8.17

Relative energies in kJ/mol of atoms: (1) 0.0; (2) 18.3

(1)
A relaxed structure of Pm2GdHg, computed with PBE-GGA.

abc: 3.6702 3.6702 32.4951
angles: 90.00 90.00 120.00
With the nearest neighbours (Å) after each atom.
Space group R-3m (No. 166, hexagonal axes)
Asymmetric unit:
Pm1 0.0000 0.0000 0.2432 x6  3 Hg 3.27, 3 Gd 3.61
Gd1 0.0000 0.0000 0.0000 x3  6 Pm 3.61, 6 Gd 3.67
Hg1 0.0000 0.0000 0.5000 x3  6 Pm 3.27

D(E_F) (states/eV per atom): 1.300
Size of the total moment (μB/f.u.): 7.23

(2)
A relaxed structure of Pm2GdHg, computed with PBE-GGA.

abc: 4.9050 4.9050 4.8740
angles: 90.00 90.00 90.00
With the nearest neighbours (Å) after each atom.
Space group P4/mmm (No. 123)
Asymmetric unit:
Pm1 0.0000 0.5000 0.0000 x2  4 Hg 3.46, 4 Gd 3.46, 4 Pm 3.47
Gd1 0.0000 0.0000 0.5000 x1  8 Pm 3.46, 4 Hg 3.47
Hg1 0.5000 0.5000 0.5000 x1  8 Pm 3.46, 4 Gd 3.47

D(E_F) (states/eV per atom): 1.392
Size of the total moment (μB/f.u.): 7.77

Relative energies in kJ/mol of atoms: (1) 3.8; (2) 0.0

(1)
A relaxed structure of Pm2GdHg, computed with PBE-GGA.

abc: 7.7714 7.7714 7.7714
angles: 90.00 90.00 90.00
With the nearest neighbours (Å) after each atom.
Space group Fm-3m (No. 225)
Asymmetric unit:
Pm1 0.2500 0.2500 0.2500 x8  4 Hg 3.37, 4 Gd 3.37
Gd1 0.0000 0.0000 0.0000 x4  8 Pm 3.37
Hg1 0.0000 0.0000 0.5000 x4  8 Pm 3.37

D(E_F) (states/eV per atom): 1.526
Size of the total moment (μB/f.u.): 7.83

(2)
A relaxed structure of Pm2GdHg, computed with PBE-GGA.

abc: 3.7146 3.7146 8.8774
angles: 90.00 90.00 90.00
With the nearest neighbours (Å) after each atom.
Space group P4/mmm (No. 123)
Asymmetric unit:
Pm1 0.0000 0.0000 0.2227 x2  4 Hg 3.29, 4 Gd 3.60
Gd1 0.5000 0.5000 0.5000 x1  8 Pm 3.60, 4 Gd 3.71
Hg1 0.5000 0.5000 0.0000 x1  8 Pm 3.29

D(E_F) (states/eV per atom): 1.370
Size of the total moment (μB/f.u.): 7.35

Relative energies in kJ/mol of atoms: (1) 12.5; (2) 0.0

(1)
A relaxed structure of PrGdHg2, computed with PBE-GGA.

abc: 3.8563 3.8563 28.0756
angles: 90.00 90.00 120.00
With the nearest neighbours (Å) after each atom.
Space group R-3m (No. 166, hexagonal axes)
Asymmetric unit:
Pr1 0.0000 0.0000 0.0000 x3  6 Hg 3.28
Gd1 0.0000 0.0000 0.5000 x3  6 Hg 3.18
Hg1 0.0000 0.0000 0.2475 x6  3 Gd 3.18, 3 Pr 3.28

D(E_F) (states/eV per atom): 1.021
Size of the total moment (μB/f.u.): 7.98

(2)
A relaxed structure of PrGdHg2, computed with PBE-GGA.

abc: 7.6196 7.6196 7.6196
angles: 90.00 90.00 90.00
With the nearest neighbours (Å) after each atom.
Space group Fm-3m (No. 225)
Asymmetric unit:
Pr1 0.0000 0.0000 0.0000 x4  8 Hg 3.30
Gd1 0.0000 0.0000 0.5000 x4  8 Hg 3.30
Hg1 0.2500 0.2500 0.2500 x8  4 Pr 3.30, 4 Gd 3.30

D(E_F) (states/eV per atom): 1.258
Size of the total moment (μB/f.u.): 7.88

Relative energies in kJ/mol of atoms: (1) 15.5; (2) 0.0

(1)
A relaxed structure of PrGdHg, computed with PBE-GGA.

abc: 5.2313 5.2313 3.8268
angles: 90.00 90.00 120.00
With the nearest neighbours (Å) after each atom.
Space group P3m1 (No. 156)
Asymmetric unit:
Pr1 0.0000 0.0000 0.0000 x1  3 Hg 3.33, 6 Gd 3.48-3.68
Gd1 0.3333 0.6667 0.5490 x1  3 Hg 3.10
Hg1 0.6667 0.3333 0.3665 x1  3 Gd 3.10, 3 Pr 3.33

D(E_F) (states/eV per atom): 1.279
Size of the total moment (μB/f.u.): 7.50

(2)
A relaxed structure of PrGdHg, computed with PBE-GGA.

abc: 3.7527 3.7527 12.7834
angles: 90.00 90.00 90.00
With the nearest neighbours (Å) after each atom.
Space group I4mm (No. 107)
Asymmetric unit:
Pr1 0.0000 0.0000 0.0000 x2  4 Hg 3.37, 4 Gd 3.63, 4 Pr 3.75
Gd1 0.0000 0.0000 0.6943 x2  4 Hg 3.22
Hg1 0.0000 0.0000 0.3370 x2  4 Gd 3.22, 4 Pr 3.37

D(E_F) (states/eV per atom): 0.931
Size of the total moment (μB/f.u.): 7.79

(3)
A relaxed structure of PrGdHg, computed with PBE-GGA.

abc: 7.3891 7.3891 7.3891
angles: 90.00 90.00 90.00
With the nearest neighbours (Å) after each atom.
Space group F-43m (No. 216)
Asymmetric unit:
Pr1 0.0000 0.0000 0.0000 x4  4 Hg 3.20
Gd1 0.0000 0.0000 0.5000 x4  4 Hg 3.20
Hg1 0.2500 0.2500 0.2500 x4  4 Gd 3.20, 4 Pr 3.20

D(E_F) (states/eV per atom): 1.500
Size of the total moment (μB/f.u.): 8.19

Relative energies in kJ/mol of atoms: (1) 12.8; (2) 0.0; (3) 18.5

(1)
A relaxed structure of Gd2PuHg, computed with PBE-GGA.

abc: 7.5894 7.5894 7.5894
angles: 90.00 90.00 90.00
With the nearest neighbours (Å) after each atom.
Space group Fm-3m (No. 225)
Asymmetric unit:
Gd1 0.2500 0.2500 0.2500 x8  4 Hg 3.29, 4 Pu 3.29
Pu1 0.0000 0.0000 0.0000 x4  8 Gd 3.29
Hg1 0.0000 0.0000 0.5000 x4  8 Gd 3.29

D(E_F) (states/eV per atom): 4.046
Size of the total moment (μB/f.u.): 8.17

(2)
A relaxed structure of Gd2PuHg, computed with PBE-GGA.

abc: 5.4749 5.4749 3.5434
angles: 90.00 90.00 90.00
With the nearest neighbours (Å) after each atom.
Space group P4/mmm (No. 123)
Asymmetric unit:
Gd1 0.0000 0.5000 0.0000 x2  4 Hg 3.26, 4 Pu 3.26, 2 Gd 3.54
Pu1 0.0000 0.0000 0.5000 x1  8 Gd 3.26, 2 Pu 3.54
Hg1 0.5000 0.5000 0.5000 x1  8 Gd 3.26, 2 Hg 3.54

D(E_F) (states/eV per atom): 2.462
Size of the total moment (μB/f.u.): 8.36

Relative energies in kJ/mol of atoms: (1) 10.7; (2) 0.0